Entry 1:
# Cr6CdCu2O12

A crystal of Cr6CdCu2O12 relaxed with PBEsol (meta-GGA SCAN, the Alexandria database).

Computed properties:
**Energy relative to the elements, uncorrected**: -44.1 eV/f.u.
**SG**: I-4m2 (119)

abc: 5.915 5.915 13.208
angles: 102.94 102.94 90.00
Last column: magnetic moment on the atom in μB.
Fractional coordinates of all 42 atoms:
Cr 0.542 0.796 0.085  2.78
Cr 0.211 0.457 0.422  2.73
Cr 0.872 0.128 0.745  2.77
Cr 0.872 0.617 0.745  2.77
Cr 0.542 0.289 0.085  2.78
Cr 0.211 0.964 0.422  2.73
Cr 0.711 0.458 0.915  2.78
Cr 0.383 0.128 0.255  2.77
Cr 0.036 0.789 0.578  2.73
Cr 0.543 0.789 0.578  2.73
Cr 0.204 0.458 0.915  2.78
Cr 0.872 0.128 0.255  2.77
Cd 0.415 0.915 0.829  0.03
Cd 0.085 0.585 0.171  0.03
Cu 0.750 0.250 0.500  -0.48
Cu 0.332 0.332 0.664  -0.44
Cu 0.000 0.000 0.000  -0.40
Cu 0.668 0.668 0.336  -0.44
O 0.657 0.866 0.732  0.01
O 0.322 0.535 0.071  0.00
O 0.985 0.207 0.413  -0.04
O 0.655 0.379 0.757  -0.01
O 0.323 0.048 0.097  -0.03
O 0.993 0.712 0.424  -0.03
O 0.749 0.535 0.071  0.00
O 0.428 0.207 0.413  -0.04
O 0.075 0.866 0.732  0.01
O 0.102 0.379 0.757  -0.01
O 0.773 0.048 0.097  -0.03
O 0.430 0.712 0.424  -0.03
O 0.465 0.678 0.929  0.00
O 0.134 0.343 0.268  0.01
O 0.793 0.015 0.587  -0.04
O 0.952 0.227 0.903  -0.03
O 0.621 0.898 0.243  -0.01
O 0.288 0.570 0.576  -0.03
O 0.793 0.572 0.587  -0.04
O 0.465 0.251 0.929  0.00
O 0.134 0.925 0.268  0.01
O 0.952 0.677 0.903  -0.03
O 0.621 0.345 0.243  -0.01
O 0.288 0.007 0.576  -0.03

=====

Entry 2:
# Cr2CdIrF

A crystal of Cr2CdIrF relaxed with PBEsol (meta-GGA SCAN, the Alexandria database).

Computed properties:
**Energy relative to the elements, uncorrected**: 5.1 eV/f.u.
**SG**: P4/mmm (123)

abc: 3.956 5.024 5.024
angles: 90.00 90.00 90.00
Last column: magnetic moment on the atom in μB.
Fractional coordinates of all 5 atoms:
Cr 0.000 0.000 0.500  4.06
Cr 0.000 0.500 0.000  4.06
F 0.500 0.000 0.000  0.10
Ir 0.500 0.500 0.500  -0.46
Cd 0.000 0.000 0.000  0.17

=====

Entry 3:
# CrCdNF2

A crystal of CrCdNF2 relaxed with PBEsol (meta-GGA SCAN, the Alexandria database).

Computed properties:
**Energy relative to the elements, uncorrected**: -6.7 eV/f.u.
**SG**: P4/mmm (123)

abc: 3.935 3.935 3.830
angles: 90.00 90.00 90.00
Last column: magnetic moment on the atom in μB.
Fractional coordinates of all 5 atoms:
Cr 0.000 0.000 0.000  2.67
N 0.000 0.000 0.500  -0.16
F 0.000 0.500 0.000  0.03
F 0.500 0.000 0.000  0.03
Cd 0.500 0.500 0.500  0.10

=====

Entry 4:
# CrCdFe

A crystal of CrCdFe relaxed with PBEsol (meta-GGA SCAN, the Alexandria database).

Computed properties:
**Excess energy over the best structure of this formula in the dataset**: 19 kJ/mol of formula units
**SG**: Fmm2 (42)
**Energy relative to the elements**: 0.44 eV/atom

abc: 2.615 2.615 6.607
angles: 97.48 97.48 110.02
Last column: magnetic moment on the atom in μB.
Fractional coordinates of all 3 atoms:
Cd 0.001 0.001 0.002  -0.01
Cr 0.317 0.317 0.633  -0.49
Fe 0.682 0.682 0.365  2.56

=====

Entry 5:
# Cr2CdFe

A crystal of Cr2CdFe relaxed with PBEsol (meta-GGA SCAN, the Alexandria database).

Computed properties:
**SG**: P4/mmm (123)
**Energy relative to the elements**: 0.40 eV/atom

abc: 3.067 3.067 5.678
angles: 90.00 90.00 90.00
Last column: magnetic moment on the atom in μB.
Fractional coordinates of all 4 atoms:
Cd 0.500 0.500 0.500  0.00
Cr 0.000 0.000 0.818  -0.05
Cr 0.000 0.000 0.182  -0.05
Fe 0.500 0.500 0.000  1.99

=====

Entry 6:
# CrCdFe

A crystal of CrCdFe relaxed with PBEsol (meta-GGA SCAN, the Alexandria database).

Computed properties:
**Excess energy over the best structure of this formula in the dataset**: 0 kJ/mol of formula units
**SG**: I4mm (107)
**Energy relative to the elements**: 0.37 eV/atom

abc: 2.757 2.757 5.640
angles: 104.15 104.15 90.00
Last column: magnetic moment on the atom in μB.
Fractional coordinates of all 3 atoms:
Cd 0.997 0.997 0.994  0.01
Cr 0.696 0.696 0.392  -2.25
Fe 0.307 0.307 0.615  2.03

=====

Entry 7:
# Cr2CdFe

A crystal of Cr2CdFe relaxed with PBEsol (meta-GGA SCAN, the Alexandria database).

Computed properties:
**SG**: P4mm (99)
**Energy relative to the elements**: 0.22 eV/atom

abc: 2.866 2.866 6.465
angles: 90.00 90.00 90.00
Last column: magnetic moment on the atom in μB.
Fractional coordinates of all 4 atoms:
Cd 0.000 0.000 0.743  -0.04
Cr 0.500 0.500 0.053  2.76
Cr 0.000 0.000 0.250  -1.85
Fe 0.500 0.500 0.454  2.62

=====

Entry 8:
# Cr2CdFe

A crystal of Cr2CdFe relaxed with PBEsol (meta-GGA SCAN, the Alexandria database).

Computed properties:
**SG**: Imm2 (44)
**Energy relative to the elements**: 0.44 eV/atom

abc: 2.957 4.342 4.863
angles: 116.52 107.70 90.00
Last column: magnetic moment on the atom in μB.
Fractional coordinates of all 4 atoms:
Cd 0.254 0.754 0.508  -0.02
Cr 0.032 0.032 0.063  -2.14
Cr 0.735 0.235 0.470  1.96
Fe 0.480 0.480 0.960  2.75